#a
The following is a GGA-PBE calculation of a relaxed Ce2MgRe crystal, from the Alexandria database.

```
Ce2MgRe
1.0
-0.948 -0.495 -3.150
1.773 -2.813 -0.092
-7.137 -4.593 2.870
Re Mg Ce
1 1 2
direct
0.500 0.500 0.000
0.500 0.500 0.500
0.000 0.000 0.801
0.000 0.000 0.199
```

Values from the calculation:
magnetization	0.0	μB per cell
symmetry	P4/mmm (123)

***

#b
The following is a GGA-PBE calculation of a relaxed Ce2MgRe crystal, from the Alexandria database.

```
Ce2MgRe
1.0
3.702 0.000 0.000
0.000 4.977 0.000
0.000 0.000 4.977
Re Mg Ce
1 1 2
direct
0.500 0.000 0.000
0.500 0.500 0.500
0.000 0.000 0.500
0.000 0.500 0.000
```

Values from the calculation:
magnetization	0.0	μB per cell
symmetry	P4/mmm (123)

***

Energies in meV/atom, measured from the most stable structure: #a 0; #b 139.

***

#a
The following is a GGA-PBE calculation of a relaxed Ce2MgRe crystal, from the Alexandria database.

```
Ce2MgRe
1.0
-3.925 -2.636 1.827
0.801 -3.842 3.209
-1.309 0.455 4.876
Re Mg Ce
1 1 2
direct
0.000 0.000 0.000
0.500 0.500 0.500
0.250 0.250 0.250
0.750 0.750 0.750
```

Values from the calculation:
magnetization	0.0	μB per cell
symmetry	Fm-3m (225)

***

#b
The following is a GGA-PBE calculation of a relaxed Ce2MgRe crystal, from the Alexandria database.

```
Ce2MgRe
1.0
3.928 0.000 0.000
1.964 3.402 0.000
1.964 1.134 10.099
Re Mg Ce
1 1 2
direct
0.500 0.500 0.500
0.000 0.000 0.000
0.116 0.116 0.652
0.884 0.884 0.348
```

Values from the calculation:
magnetization	0.5	μB per cell
symmetry	R-3m (166)

***

Energies in meV/atom, measured from the most stable structure: #a 0; #b 310.

***

#a
The following is a GGA-PBE calculation of a relaxed Ce5MgRu6 crystal, from the Alexandria database.

```
Ce5MgRu6
1.0
-4.000 -2.311 0.621
0.804 -2.970 -5.968
1.532 -8.523 0.672
Ru Mg Ce
6 1 5
direct
0.789 0.589 0.319
0.790 0.093 0.318
0.499 0.733 0.000
0.501 0.267 0.000
0.210 0.907 0.682
0.211 0.411 0.681
0.000 0.000 0.000
0.682 0.155 0.690
0.271 0.323 0.354
0.000 0.500 0.000
0.729 0.677 0.646
0.318 0.845 0.310
```

Values from the calculation:
magnetization	0.0	μB per cell
symmetry	P-1 (2)

***

#b
The following is a GGA-PBE calculation of a relaxed Ce5MgRu6 crystal, from the Alexandria database.

```
Ce5MgRu6
1.0
-2.991 1.128 5.441
-0.878 -6.542 5.128
4.374 -2.043 4.955
Ce Mg Ru
5 1 6
direct
0.500 0.156 0.688
0.000 0.326 0.348
0.500 0.500 0.000
0.000 0.674 0.652
0.500 0.844 0.312
0.000 0.000 0.000
0.835 0.139 0.298
0.165 0.562 0.298
0.239 0.216 0.000
0.761 0.784 0.000
0.835 0.438 0.702
0.165 0.861 0.702
```

Values from the calculation:
magnetization	0.0	μB per cell
symmetry	C2/m (12)

***

Energies in meV/atom, measured from the most stable structure: #a 0; #b 124.

***

#a
The following is a GGA-PBE calculation of a relaxed CeMgSb2 crystal, from the Alexandria database.

```
CeMgSb2
1.0
-1.089 -3.689 -1.453
4.345 -1.911 1.594
-2.105 -1.113 4.405
Sb Mg Ce
2 1 1
direct
0.000 0.000 0.500
0.000 0.500 0.000
0.500 0.000 0.000
0.500 0.500 0.500
```

Values from the calculation:
magnetization	0.0	μB per cell
symmetry	P4/mmm (123)

***

#b
The following is a GGA-PBE calculation of a relaxed CeMgSb2 crystal, from the Alexandria database.

```
CeMgSb2
1.0
3.999 0.000 0.000
0.000 3.999 0.000
0.000 0.000 6.584
Sb Mg Ce
2 1 1
direct
0.000 0.000 0.754
0.000 0.000 0.246
0.500 0.500 0.000
0.500 0.500 0.500
```

Values from the calculation:
magnetization	0.6	μB per cell
symmetry	P4/mmm (123)

***

#c
The following is a GGA-PBE calculation of a relaxed CeMgSb2 crystal, from the Alexandria database.

```
CeMgSb2
1.0
4.452 0.000 0.000
2.226 3.856 0.000
2.226 1.285 6.916
Ce Mg Sb
1 1 2
direct
0.668 0.668 0.995
0.496 0.496 0.511
0.087 0.087 0.739
0.248 0.248 0.255
```

Values from the calculation:
magnetization	0.3	μB per cell
symmetry	R3m (160)

***

Energies in meV/atom, measured from the most stable structure: #a 0; #b 134; #c 69.

***

#a
The following is a GGA-PBE calculation of a relaxed CeMgSb2 crystal, from the Alexandria database.

```
CeMgSb2
1.0
-3.549 -2.610 0.468
2.333 -2.701 2.625
-3.124 5.819 8.764
Ce Mg Sb
2 2 4
direct
0.000 0.500 0.279
0.500 0.000 0.721
0.500 0.500 0.000
0.000 0.000 0.000
0.500 0.000 0.181
0.000 0.500 0.819
0.000 0.000 0.500
0.500 0.500 0.500
```

Values from the calculation:
magnetization	2.7	μB per cell
symmetry	P4/nmm (129)

***

#b
The following is a GGA-PBE calculation of a relaxed CeMgSb2 crystal, from the Alexandria database.

```
CeMgSb2
1.0
-4.379 0.766 -0.803
-3.126 -1.536 2.877
-2.139 5.388 4.099
Sb Mg Ce
2 1 1
direct
0.253 0.253 0.241
0.747 0.747 0.759
0.000 0.000 0.000
0.500 0.500 0.500
```

Values from the calculation:
magnetization	0.2	μB per cell
symmetry	R-3m (166)

***

#c
The following is a GGA-PBE calculation of a relaxed CeMgSb2 crystal, from the Alexandria database.

```
CeMgSb2
1.0
-2.767 1.240 4.364
-5.093 -1.457 0.420
-1.399 -3.809 3.431
Sb Mg Ce
2 1 1
direct
0.250 0.250 0.250
0.750 0.750 0.750
0.500 0.500 0.500
0.000 0.000 0.000
```

Values from the calculation:
magnetization	0.4	μB per cell
symmetry	Fm-3m (225)

***

Energies in meV/atom, measured from the most stable structure: #a 0; #b 53; #c 158.

***

#a
The following is a GGA-PBE calculation of a relaxed CeMg6Sc crystal, from the Alexandria database.

```
CeMg6Sc
1.0
-3.766 0.197 -3.530
3.101 -4.604 -3.565
-4.393 -1.787 4.586
Ce Mg Sc
1 6 1
direct
0.000 0.084 0.916
0.000 0.085 0.417
0.000 0.583 0.915
0.000 0.582 0.418
0.500 0.423 0.087
0.500 0.913 0.577
0.500 0.913 0.087
0.500 0.416 0.584
```

Values from the calculation:
magnetization	1.0	μB per cell
symmetry	Amm2 (38)

***

#b
The following is a GGA-PBE calculation of a relaxed CeMg6Sc crystal, from the Alexandria database.

```
CeMg6Sc
1.0
-1.248 -3.450 -2.510
4.614 -3.798 2.926
-4.416 -1.784 4.647
Ce Mg Sc
1 6 1
direct
0.500 0.000 0.000
0.500 0.000 0.500
0.500 0.500 0.000
0.000 0.259 0.259
0.000 0.741 0.741
0.000 0.741 0.259
0.000 0.259 0.741
0.500 0.500 0.500
```

Values from the calculation:
magnetization	1.1	μB per cell
symmetry	P4/mmm (123)

***

Energies in meV/atom, measured from the most stable structure: #a 0; #b 9.

***

#a
The following is a GGA-PBE calculation of a relaxed CeMgSe2 crystal, from the Alexandria database.

```
CeMgSe2
1.0
-2.479 1.301 2.819
-0.385 -2.026 3.396
4.304 3.564 4.939
Ce Mg Se
1 1 2
direct
0.500 0.500 0.501
0.668 0.668 0.996
0.072 0.072 0.784
0.260 0.260 0.219
```

Values from the calculation:
magnetization	2.0	μB per cell
symmetry	R3m (160)

***

#b
The following is a GGA-PBE calculation of a relaxed CeMgSe2 crystal, from the Alexandria database.

```
CeMgSe2
1.0
-2.690 2.070 -2.557
0.549 -0.127 -4.212
-5.616 -6.254 -2.688
Mg Se Ce
1 2 1
direct
0.000 0.000 0.000
0.102 0.102 0.693
0.898 0.898 0.307
0.500 0.500 0.500
```

Values from the calculation:
magnetization	0.9	μB per cell
symmetry	R-3m (166)

***

Energies in meV/atom, measured from the most stable structure: #a 0; #b 275.

***

#a
The following is a GGA-PBE calculation of a relaxed CeMg6Si crystal, from the Alexandria database.

```
CeMg6Si
1.0
-1.393 0.084 -7.031
0.122 -5.342 4.777
-4.730 0.738 0.946
Ce Mg Si
1 6 1
direct
0.804 0.196 0.500
0.814 0.693 0.500
0.307 0.186 0.500
0.677 0.825 0.000
0.175 0.323 0.000
0.643 0.357 0.000
0.213 0.787 0.000
0.366 0.634 0.500
```

Values from the calculation:
magnetization	0.8	μB per cell
symmetry	Amm2 (38)

***

#b
The following is a GGA-PBE calculation of a relaxed CeMg6Si crystal, from the Alexandria database.

```
CeMg6Si
1.0
1.399 5.868 -3.751
-1.469 -6.505 -2.445
-4.557 1.050 -0.056
Ce Mg Si
1 6 1
direct
0.206 0.794 0.000
0.688 0.830 0.000
0.170 0.312 0.000
0.646 0.354 0.000
0.819 0.692 0.500
0.308 0.181 0.500
0.798 0.202 0.500
0.364 0.636 0.500
```

Values from the calculation:
magnetization	1.0	μB per cell
symmetry	Amm2 (38)

***

Energies in meV/atom, measured from the most stable structure: #a 0; #b 20.

***

#a
The following is a GGA-PBE calculation of a relaxed CeSmMg crystal, from the Alexandria database.

```
CeSmMg
1.0
3.418 0.000 0.000
0.000 3.418 0.000
-1.709 -1.709 7.509
Mg Sm Ce
1 1 1
direct
0.667 0.667 0.333
0.328 0.328 0.656
0.005 0.005 0.010
```

Values from the calculation:
magnetization	1.0	μB per cell
symmetry	I4mm (107)

***

#b
The following is a GGA-PBE calculation of a relaxed CeSmMg crystal, from the Alexandria database.

```
CeSmMg
1.0
3.464 0.000 0.000
0.000 3.464 0.000
0.000 0.000 13.990
Ce Sm Mg
2 2 2
direct
0.000 0.500 0.579
0.500 0.000 0.421
0.000 0.500 0.240
0.500 0.000 0.760
0.500 0.000 0.068
0.000 0.500 0.932
```

Values from the calculation:
magnetization	0.0	μB per cell
symmetry	P4/nmm (129)

***

Energies in meV/atom, measured from the most stable structure: #a 42; #b 0.

***

#a
The following is a GGA-PBE calculation of a relaxed CeMg2Sn3 crystal, from the Alexandria database.

```
CeMg2Sn3
1.0
4.434 0.000 0.000
0.000 4.467 -1.511
0.000 0.058 7.533
Ce Mg Sn
1 2 3
direct
0.000 0.000 0.000
0.000 0.673 0.345
0.000 0.327 0.655
0.500 0.170 0.340
0.500 0.500 0.000
0.500 0.830 0.660
```

Values from the calculation:
magnetization	0.6	μB per cell
symmetry	Cmmm (65)

***

#b
The following is a GGA-PBE calculation of a relaxed CeMg2Sn3 crystal, from the Alexandria database.

```
CeMg2Sn3
1.0
5.993 0.000 0.000
0.000 7.661 0.937
0.000 -1.038 7.648
Ce Mg Sn
2 4 6
direct
0.250 0.329 0.671
0.750 0.671 0.329
0.000 0.161 0.161
0.500 0.161 0.161
0.000 0.839 0.839
0.500 0.839 0.839
0.750 0.159 0.841
0.750 0.244 0.471
0.250 0.471 0.244
0.750 0.529 0.756
0.250 0.756 0.529
0.250 0.841 0.159
```

Values from the calculation:
magnetization	2.4	μB per cell
symmetry	Cmcm (63)

***

Energies in meV/atom, measured from the most stable structure: #a 0; #b 295.

***

#a
The following is a GGA-PBE calculation of a relaxed Ce3MgSn2 crystal, from the Alexandria database.

```
Ce3MgSn2
1.0
6.585 0.000 0.000
0.000 6.373 0.000
-3.292 -3.187 8.461
Ce Mg Sn
6 2 4
direct
0.433 0.678 0.356
0.567 0.322 0.644
0.077 0.822 0.644
0.923 0.178 0.356
0.500 0.750 0.000
0.500 0.250 0.000
0.000 0.250 0.000
0.000 0.750 0.000
0.365 0.130 0.260
0.635 0.870 0.740
0.106 0.370 0.740
0.894 0.630 0.260
```

Values from the calculation:
magnetization	11.1	μB per cell
symmetry	Ibam (72)

***

#b
The following is a GGA-PBE calculation of a relaxed Ce3MgSn2 crystal, from the Alexandria database.

```
Ce3MgSn2
1.0
-0.124 -4.368 0.993
4.537 -0.561 -1.898
0.709 1.717 7.640
Ce Mg Sn
3 1 2
direct
0.500 0.500 0.000
0.500 0.824 0.649
0.500 0.176 0.351
0.000 0.000 0.000
0.000 0.345 0.690
0.000 0.655 0.310
```

Values from the calculation:
magnetization	3.2	μB per cell
symmetry	Cmmm (65)

***

Energies in meV/atom, measured from the most stable structure: #a 60; #b 0.

***

#a
The following is a GGA-PBE calculation of a relaxed CeMg2Sn2 crystal, from the Alexandria database.

```
CeMg2Sn2
1.0
5.019 0.000 0.000
-2.509 4.346 0.000
0.000 0.000 12.979
Ce Mg Sn
2 4 4
direct
0.000 0.000 0.250
0.000 0.000 0.750
0.667 0.333 0.750
0.000 0.000 0.000
0.000 0.000 0.500
0.333 0.667 0.250
0.333 0.667 0.627
0.667 0.333 0.127
0.667 0.333 0.373
0.333 0.667 0.873
```

Values from the calculation:
magnetization	1.2	μB per cell
symmetry	P6_3/mmc (194)

***

#b
The following is a GGA-PBE calculation of a relaxed CeMg2Sn2 crystal, from the Alexandria database.

```
CeMg2Sn2
1.0
-4.217 0.037 -1.559
-0.280 -4.454 0.651
-2.160 1.946 12.375
Ce Mg Sn
2 4 4
direct
0.348 0.250 0.697
0.652 0.750 0.303
0.046 0.750 0.092
0.456 0.750 0.913
0.954 0.250 0.908
0.544 0.250 0.087
0.750 0.250 0.500
0.250 0.750 0.500
0.873 0.750 0.746
0.127 0.250 0.254
```

Values from the calculation:
magnetization	1.3	μB per cell
symmetry	Cmcm (63)

***

Energies in meV/atom, measured from the most stable structure: #a 367; #b 0.